[1]
{"formula": "TePt2Br", "functional": "PBE-GGA", "state": "relaxed", "lattice_angstrom": [[0.0000, 3.4072, 3.4072], [3.4072, 0.0000, 3.4072], [3.4072, 3.4072, 0.0000]], "species": ["Te", "Pt", "Pt", "Br"], "fractional_positions": [[0.0000, 0.0000, 0.0000], [0.2500, 0.2500, 0.2500], [0.7500, 0.7500, 0.7500], [0.5000, 0.5000, 0.5000]], "magnetic_moment_mub_per_cell": 0.00, "raw_formation_energy_mev_per_atom": 487, "n_ef_per_ev_atom": 1.781}

---

[2]
{"formula": "Li2ThCdAu4", "functional": "PBE-GGA", "state": "relaxed", "lattice_angstrom": [[2.2819, 1.3174, 8.9434], [-2.2819, 1.3174, 8.9434], [0.0000, -2.6349, 8.9434]], "species": ["Li", "Li", "Th", "Cd", "Au", "Au", "Au", "Au"], "fractional_positions": [[0.2325, 0.2325, 0.2325], [0.7675, 0.7675, 0.7675], [0.0000, 0.0000, 0.0000], [0.5000, 0.5000, 0.5000], [0.1177, 0.1177, 0.1177], [0.3933, 0.3933, 0.3933], [0.6067, 0.6067, 0.6067], [0.8823, 0.8823, 0.8823]], "magnetic_moment_mub_per_cell": 0.00, "e_form_ev_per_fu": -4.1, "n_ef_per_ev_atom": 0.390}

---

[3]
{"formula": "Ca2TcRh", "functional": "PBE-GGA", "state": "relaxed", "lattice_angstrom": [[3.1167, -4.3590, 0.0000], [3.1167, 4.3590, 0.0000], [-0.0144, 0.0000, 2.9659]], "species": ["Ca", "Ca", "Tc", "Rh"], "fractional_positions": [[0.0000, 0.5000, 0.0000], [0.5000, 0.0000, 0.0000], [0.0000, 0.0000, 0.5000], [0.5000, 0.5000, 0.5000]], "magnetic_moment_mub_per_cell": 0.84, "e_form_ev_per_fu": 1.6, "n_ef_per_ev_atom": 1.316}

---

[4]
{"formula": "Sc2BeZn", "functional": "PBE-GGA", "state": "relaxed", "lattice_angstrom": [[0.0000, 3.2700, 3.2700], [3.2700, 0.0000, 3.2700], [3.2700, 3.2700, 0.0000]], "species": ["Sc", "Sc", "Be", "Zn"], "fractional_positions": [[0.2500, 0.2500, 0.2500], [0.7500, 0.7500, 0.7500], [0.0000, 0.0000, 0.0000], [0.5000, 0.5000, 0.5000]], "magnetic_moment_mub_per_cell": 0.00, "e_form_ev_per_fu": -0.8, "n_ef_per_ev_atom": 0.926}

---

[5]
{"formula": "ZrCoW3", "functional": "PBE-GGA", "state": "relaxed", "lattice_angstrom": [[4.5178, 0.0000, 0.0000], [0.0000, 4.5178, 0.0000], [0.0000, 0.0000, 4.5178]], "species": ["Zr", "Co", "W", "W", "W"], "fractional_positions": [[0.0000, 0.0000, 0.0000], [0.5000, 0.5000, 0.5000], [0.0000, 0.5000, 0.5000], [0.5000, 0.0000, 0.5000], [0.5000, 0.5000, 0.0000]], "magnetic_moment_mub_per_cell": 0.00, "e_form_ev_per_fu": 5.3, "n_ef_per_ev_atom": 1.166}

---

[6]
{"formula": "KAl2SiOs", "functional": "PBE-GGA", "state": "relaxed", "lattice_angstrom": [[4.7943, 0.0000, 0.0000], [0.0000, 4.7943, 0.0000], [0.0000, 0.0000, 5.7194]], "species": ["K", "Al", "Al", "Si", "Os"], "fractional_positions": [[0.0000, 0.0000, 0.0000], [0.0000, 0.5000, 0.5000], [0.5000, 0.0000, 0.5000], [0.5000, 0.5000, 0.0000], [0.0000, 0.0000, 0.5000]], "magnetic_moment_mub_per_cell": 1.11, "raw_formation_energy_mev_per_atom": 984, "n_ef_per_ev_atom": 1.027}

---

[7]
{"formula": "CaTc2Br", "functional": "PBE-GGA", "state": "relaxed", "lattice_angstrom": [[2.5915, -4.9414, 0.0000], [2.5915, 4.9414, 0.0000], [0.0000, 0.0000, 2.9949]], "species": ["Ca", "Tc", "Tc", "Br"], "fractional_positions": [[0.0000, 0.0000, 0.0000], [0.0000, 0.5000, 0.5000], [0.5000, 0.0000, 0.5000], [0.5000, 0.5000, 0.0000]], "magnetic_moment_mub_per_cell": 0.31, "raw_formation_energy_mev_per_atom": 832, "n_ef_per_ev_atom": 1.235}

---

[8]
{"formula": "LiHf2InH", "functional": "PBE-GGA", "state": "relaxed", "lattice_angstrom": [[4.3261, 0.0000, 0.0000], [0.0000, 4.3261, 0.0000], [0.0000, 0.0000, 4.3597]], "species": ["Li", "Hf", "Hf", "In", "H"], "fractional_positions": [[0.0000, 0.0000, 0.0000], [0.0000, 0.5000, 0.5000], [0.5000, 0.0000, 0.5000], [0.5000, 0.5000, 0.0000], [0.0000, 0.0000, 0.5000]], "magnetic_moment_mub_per_cell": 0.00, "n_ef_per_ev_atom": 0.512, "e_tot_ev_per_fu": -28.76}